Record 1
This record from Alexandria via LeMat-Bulk describes a relaxed K2AsPb crystal. The functional is PBE.

Total moment ... 0.000 μB/f.u.
D(E_F) ... 3.94 states/eV/f.u.
Energy of formation from the pure elements ... -0.027 eV per formula unit
Calculated density ... 4.56 Mg/m³

Unit cell a=4.4095 b=4.4095 c=6.7412 alpha=90.00 beta=90.00 gamma=90.00
Closest atoms and distances in Å follow each position.
Fractional positions:
K: 0.0000 0.0000 0.2256  1 K 3.04
K: 0.0000 0.0000 0.7744  1 K 3.04
As: 0.5000 0.5000 0.0000  2 Pb 3.37, 8 K 3.47
Pb: 0.5000 0.5000 0.5000  2 As 3.37, 8 K 3.63

=====

Record 2
This record from Alexandria via LeMat-Bulk describes a relaxed Pm4P2Br3 crystal. The functional is PBE.

E_form (uncorrected) ... -1.65 eV per atom
Total moment ... 0.000 μB/f.u.
D(E_F) ... 3.26 states/eV/f.u.
Calculated density ... 5.52 Mg/m³

Unit cell a=4.1307 b=4.1307 c=17.9398 alpha=90.05 beta=90.05 gamma=60.00
Closest atoms and distances in Å follow each position.
Fractional positions:
Pm: 0.0006 0.0006 0.2897  3 P 2.85, 3 Br 3.03
Pm: 0.3336 0.3336 0.1207  3 P 2.80
Pm: 0.6664 0.6664 0.8793  3 P 2.80
Pm: 0.9994 0.9994 0.7103  3 P 2.85, 3 Br 3.03
P: 0.3329 0.3329 0.7977  6 Pm 2.80-2.85
P: 0.6671 0.6671 0.2023  6 Pm 2.80-2.85
Br: 0.0000 0.0000 0.0000  6 Pm 3.22
Br: 0.3341 0.3341 0.3936  3 Pm 3.03
Br: 0.6659 0.6659 0.6064  3 Pm 3.03

=====

Record 3
This record from Alexandria via LeMat-Bulk describes a relaxed YZrTiMn2 crystal. The functional is PBE.

Total moment ... 3.924 μB/f.u.
D(E_F) ... 4.91 states/eV/f.u.
Energy of formation from the pure elements ... 4.250 eV per formula unit
Calculated density ... 5.29 Mg/m³

Unit cell a=4.5847 b=4.5847 c=5.0451 alpha=90.00 beta=90.00 gamma=90.00
Closest atoms and distances in Å follow each position.
Fractional positions:
Y: 0.0000 0.0000 0.0000  2 Ti 2.52
Zr: 0.5000 0.5000 0.0000  4 Y 3.24, 8 Mn 3.41
Ti: 0.0000 0.0000 0.5000  4 Mn 2.29, 2 Y 2.52
Mn: 0.0000 0.5000 0.5000  2 Ti 2.29
Mn: 0.5000 0.0000 0.5000  2 Ti 2.29

=====

Record 4
This record from Alexandria via LeMat-Bulk describes a relaxed KRu2Se2 crystal. The functional is PBE.

E_form (uncorrected) ... -0.45 eV per atom
Total moment ... 0.000 μB/f.u.
D(E_F) ... 1.70 states/eV/f.u.
Calculated density ... 6.04 Mg/m³

Unit cell a=7.1452 b=7.1452 c=7.1452 alpha=146.67 beta=146.67 gamma=47.86
Closest atoms and distances in Å follow each position.
Fractional positions:
K: 0.0000 0.0000 0.0000  8 Se 3.48, 8 Ru 3.86
Ru: 0.2500 0.7500 0.5000  4 Se 2.45
Ru: 0.7500 0.2500 0.5000  4 Se 2.45
Se: 0.3524 0.3524 0.0000  4 Ru 2.45
Se: 0.6476 0.6476 0.0000  4 Ru 2.45

=====

> What is the D(E_F) in the fourth record?

1.70 states/eV/f.u.